(1)
BeSb2IBr: optimized geometry, PBE-GGA.

POSCAR file:
```
BeSb2IBr
1.0
5.661 0.000 0.000
0.000 5.661 0.000
0.000 0.000 5.720
Be Sb I Br
1 2 1 1
direct
0.000 0.000 0.000
0.000 0.500 0.500
0.500 0.000 0.500
0.500 0.500 0.000
0.500 0.500 0.500
```

Computed properties:
- Energy relative to the elements, uncorrected: 31.4 kcal/mol of atoms
- Excess energy over the best structure of this formula in the dataset: 1.010 eV/atom

***

(2)
Tb3Pm6NdDy2: optimized geometry, PBE-GGA.

POSCAR file:
```
Tb3Pm6NdDy2
1.0
3.132 -5.423 0.000
3.132 5.423 0.000
-2.084 0.000 11.759
Tb Pm Nd Dy
3 6 1 2
direct
0.000 0.000 0.000
0.333 0.667 0.000
0.667 0.333 0.000
0.082 0.416 0.249
0.250 0.250 0.751
0.416 0.082 0.249
0.584 0.918 0.751
0.750 0.750 0.249
0.918 0.584 0.751
0.500 0.500 0.500
0.167 0.833 0.500
0.833 0.167 0.500
```

Computed properties:
- Formation enthalpy at 0 K: 0.013 eV/atom

***

(3)
Na2PmCd6: optimized geometry, PBE-GGA.

POSCAR file:
```
Na2PmCd6
1.0
7.653 -4.419 0.000
7.653 4.419 0.000
-0.004 0.000 3.352
Na Pm Cd
2 1 6
direct
0.167 0.167 0.000
0.833 0.833 0.000
0.500 0.500 0.000
0.164 0.500 0.499
0.164 0.836 0.500
0.500 0.164 0.499
0.500 0.836 0.501
0.836 0.164 0.500
0.836 0.500 0.501
```

Computed properties:
- Formation enthalpy at 0 K: -0.175 eV/atom

***

(4)
Li8Ag2Ge: optimized geometry, PBE-GGA.

POSCAR file:
```
Li8Ag2Ge
1.0
3.705 -6.171 0.000
3.705 6.171 0.000
-1.637 0.000 4.288
Li Ag Ge
8 2 1
direct
0.080 0.296 0.603
0.212 0.788 0.000
0.296 0.080 0.603
0.370 0.370 0.180
0.630 0.630 0.820
0.704 0.920 0.397
0.788 0.212 0.000
0.920 0.704 0.397
0.315 0.685 0.500
0.685 0.315 0.500
0.000 0.000 0.000
```

Computed properties:
- Formation enthalpy at 0 K: -0.142 eV/atom
- Excess energy over the best structure of this formula in the dataset: 0.072 eV/atom

***

(5)
BaSmHg4: optimized geometry, PBE-GGA.

POSCAR file:
```
BaSmHg4
1.0
3.636 0.000 0.000
0.000 5.157 0.000
0.000 0.000 9.048
Ba Sm Hg
1 1 4
direct
0.000 0.000 0.000
0.000 0.500 0.500
0.500 0.000 0.342
0.500 0.000 0.658
0.500 0.500 0.179
0.500 0.500 0.821
```

Computed properties:
- Formation enthalpy at 0 K: -0.412 eV/atom
- Excess energy over the best structure of this formula in the dataset: 0.000 eV/atom

***

(6)
Pr2NdHoSb4: optimized geometry, PBE-GGA.

POSCAR file:
```
Pr2NdHoSb4
1.0
7.798 0.000 0.000
0.000 4.507 0.000
-2.601 0.000 7.352
Pr Nd Ho Sb
2 1 1 4
direct
0.000 0.000 0.000
0.000 0.500 0.500
0.500 0.000 0.500
0.500 0.500 0.000
0.255 0.500 0.247
0.259 0.000 0.757
0.741 0.000 0.243
0.745 0.500 0.753
```

Computed properties:
- Energy relative to the elements, uncorrected: -26.9 kcal/mol of atoms

***

(7)
MgAg2BBr: optimized geometry, PBE-GGA.

POSCAR file:
```
MgAg2BBr
1.0
5.202 0.000 0.000
0.000 5.202 0.000
0.000 0.000 5.127
Mg Ag B Br
1 2 1 1
direct
0.000 0.000 0.000
0.000 0.500 0.000
0.500 0.000 0.000
0.500 0.500 0.500
0.000 0.000 0.500
```

Computed properties:
- Energy relative to the elements, uncorrected: 28.2 kcal/mol of atoms

***

(8)
NaIn3Co: optimized geometry, PBE-GGA.

POSCAR file:
```
NaIn3Co
1.0
4.982 0.000 0.000
0.000 4.982 0.000
0.000 0.000 4.982
Na In Co
1 3 1
direct
0.000 0.000 0.000
0.000 0.500 0.500
0.500 0.000 0.500
0.500 0.500 0.000
0.500 0.500 0.500
```

Computed properties:
- Formation enthalpy at 0 K: -0.049 eV/atom

***

- Which formula does entry 1 have?
  BeSb2IBr

***

- Which formula does entry 4 have?
  Li8Ag2Ge